A geometry-optimized LiLaAgTe2 structure, computed with PBE-GGA.

```
LiLaAgTe2
1.0
5.048 0.000 0.000
0.000 5.236 0.000
0.000 0.000 5.048
Te Li Ag La
2 1 1 1
Direct
0.000 0.000 0.500
0.500 0.000 0.000
0.000 0.000 0.000
0.500 0.500 0.500
0.000 0.500 0.000
```

Properties
Formation energy without anion corrections   -0.210 eV/atom
D(E_F)   3.484 states/eV/f.u.